[1]
Here is a geometry-optimized Pm4PrDy2Mg structure from the Alexandria database. Energies are from PBE.

Properties
For the energy of formation, the calculation gives 72 meV per atom. The space group is P4/mmm (123). The calculation puts the density of states at the Fermi level at 12.88 states/eV/f.u. The spin magnetization comes out at 0.00 μB per cell.

Unit cell a=5.868 b=5.868 c=7.566 alpha=90.00 beta=90.00 gamma=90.00
Sites, in units of the cell vectors:
Pm 0.000 0.500 0.244
Pm 0.000 0.500 0.756
Pm 0.500 0.000 0.244
Pm 0.500 0.000 0.756
Pr 0.000 0.000 0.000
Dy 0.000 0.000 0.500
Dy 0.500 0.500 0.500
Mg 0.500 0.500 0.000



[2]
Here is a geometry-optimized Pm2PrDyMg structure from the Alexandria database. Energies are from PBE.

Properties
For the energy of formation, the calculation gives 13 meV per atom. The space group is P2_1/m (11). The calculation puts the density of states at the Fermi level at 7.97 states/eV/f.u. The spin magnetization comes out at 0.00 μB per cell.

Unit cell a=6.720 b=5.627 c=8.777 alpha=90.00 beta=103.28 gamma=90.00
Sites, in units of the cell vectors:
Pm 0.043 0.250 0.354
Pm 0.121 0.750 0.070
Pm 0.879 0.250 0.930
Pm 0.957 0.750 0.646
Pr 0.459 0.250 0.147
Pr 0.541 0.750 0.853
Dy 0.377 0.750 0.442
Dy 0.623 0.250 0.558
Mg 0.254 0.250 0.743
Mg 0.746 0.750 0.257



[3]
Here is a geometry-optimized Pm6Pr2Dy3Mg structure from the Alexandria database. Energies are from PBE.

Properties
For the energy of formation, the calculation gives 11 meV per atom. The space group is C2/m (12). The calculation puts the density of states at the Fermi level at 13.97 states/eV/f.u. The spin magnetization comes out at 0.00 μB per cell.

Unit cell a=6.243 b=6.243 c=11.914 alpha=95.04 beta=95.04 gamma=120.03
Sites, in units of the cell vectors:
Pm 0.083 0.414 0.753
Pm 0.247 0.247 0.246
Pm 0.414 0.083 0.753
Pm 0.586 0.917 0.247
Pm 0.753 0.753 0.754
Pm 0.917 0.586 0.247
Pr 0.333 0.667 0.500
Pr 0.667 0.333 0.500
Dy 0.166 0.834 0.000
Dy 0.500 0.500 0.000
Dy 0.834 0.166 0.000
Mg 0.000 0.000 0.500